Entry 1:
A relaxed structure of TcMo2Os2, computed with GGA-PBE.

Results
symmetry	I4/mmm, No. 139
formation energy	3.8	eV/f.u.
energy	-10.128	eV/atom

Unit cell a=6.1412 b=6.1412 c=6.1412 alpha=141.77 beta=141.77 gamma=55.18
Sites, in units of the cell vectors:
1 Tc 0.0000 0.0000 0.0000
2 Mo 0.2500 0.7500 0.5000
3 Mo 0.7500 0.2500 0.5000
4 Os 0.3901 0.3901 0.0000
5 Os 0.6099 0.6099 0.0000

***

Entry 2:
A relaxed structure of Ce2NdGe2Ir2, computed with GGA-PBE.

Results
symmetry	R-3m, No. 166
formation energy	-5.3	eV/f.u.
energy	-6.981	eV/atom

Unit cell a=9.0851 b=9.0851 c=9.0851 alpha=28.21 beta=28.21 gamma=28.21
Sites, in units of the cell vectors:
1 Ce 0.1394 0.1394 0.1394
2 Ce 0.8606 0.8606 0.8606
3 Nd 0.0000 0.0000 0.0000
4 Ge 0.2629 0.2629 0.2629
5 Ge 0.7371 0.7371 0.7371
6 Ir 0.4241 0.4241 0.4241
7 Ir 0.5759 0.5759 0.5759

***

Entry 3:
A relaxed structure of Ca2GdDy, computed with GGA-PBE.

Results
symmetry	P4/mmm, No. 123
formation energy	0.7	eV/f.u.
energy	-5.506	eV/atom

Unit cell a=4.0548 b=4.0548 c=8.6947 alpha=90.00 beta=90.00 gamma=90.00
Sites, in units of the cell vectors:
1 Ca 0.0000 0.0000 0.2461
2 Ca 0.0000 0.0000 0.7539
3 Gd 0.5000 0.5000 0.5000
4 Dy 0.5000 0.5000 0.0000

***

Entry 4:
A relaxed structure of Rb2BaNiBr6, computed with GGA-PBE.

Results
symmetry	Fm-3m, No. 225
energy relative to the elements, uncorrected	-1373	meV/atom
energy	-3.340	eV/atom

Unit cell a=8.0573 b=8.0573 c=8.0573 alpha=60.00 beta=60.00 gamma=60.00
Sites, in units of the cell vectors:
1 Rb 0.2500 0.2500 0.2500
2 Rb 0.7500 0.7500 0.7500
3 Ba 0.0000 0.0000 0.0000
4 Ni 0.5000 0.5000 0.5000
5 Br 0.2753 0.2753 0.7247
6 Br 0.2753 0.7247 0.2753
7 Br 0.2753 0.7247 0.7247
8 Br 0.7247 0.2753 0.2753
9 Br 0.7247 0.2753 0.7247
10 Br 0.7247 0.7247 0.2753